*i*
{"formula": "NdTmCuNi", "functional": "PBE", "state": "optimized geometry", "cell": [[4.423, 0.000, 0.000], [0.000, 1.881, 5.149], [0.000, -1.881, 5.149]], "species": ["Nd", "Tm", "Cu", "Ni"], "fractional_positions": [[0.000, 0.000, 0.000], [0.500, 0.279, 0.279], [0.500, 0.574, 0.574], [0.000, 0.716, 0.716]], "spacegroup": "Amm2"}


*ii*
{"formula": "NdTmCuNi", "functional": "PBE", "state": "optimized geometry", "cell": [[0.000, 3.460, 3.460], [3.460, 0.000, 3.460], [3.460, 3.460, 0.000]], "species": ["Nd", "Tm", "Cu", "Ni"], "fractional_positions": [[0.000, 0.000, 0.000], [0.500, 0.500, 0.500], [0.250, 0.250, 0.250], [0.750, 0.750, 0.750]], "spacegroup": "F-43m"}


Tell me which of them is the least stable. Sure, it is *ii*.


*i*
{"formula": "NdYCuNi", "functional": "PBE", "state": "optimized geometry", "cell": [[0.000, 3.492, 3.492], [3.492, 0.000, 3.492], [3.492, 3.492, 0.000]], "species": ["Nd", "Y", "Cu", "Ni"], "fractional_positions": [[0.000, 0.000, 0.000], [0.500, 0.500, 0.500], [0.250, 0.250, 0.250], [0.750, 0.750, 0.750]], "spacegroup": "F-43m"}


*ii*
{"formula": "NdYCuNi", "functional": "PBE", "state": "optimized geometry", "cell": [[4.411, 0.000, 0.000], [0.000, 1.894, 5.271], [0.000, -1.894, 5.271]], "species": ["Nd", "Y", "Cu", "Ni"], "fractional_positions": [[0.000, 0.000, 0.000], [0.500, 0.724, 0.724], [0.000, 0.289, 0.289], [0.500, 0.427, 0.427]], "spacegroup": "Amm2"}


Tell me which of them is the least stable. Sure, it is *i*.


*i*
{"formula": "NdCu2O4", "functional": "PBE", "state": "optimized geometry", "cell": [[0.000, 4.711, 6.091], [3.164, 0.000, 6.091], [3.164, 4.711, 0.000]], "species": ["Nd", "Nd", "Cu", "Cu", "Cu", "Cu", "O", "O", "O", "O", "O", "O", "O", "O"], "fractional_positions": [[0.125, 0.125, 0.125], [0.875, 0.875, 0.875], [0.000, 0.500, 0.500], [0.500, 0.000, 0.500], [0.500, 0.500, 0.000], [0.500, 0.500, 0.500], [0.164, 0.356, 0.732], [0.249, 0.732, 0.356], [0.268, 0.751, 0.836], [0.356, 0.164, 0.249], [0.644, 0.836, 0.751], [0.732, 0.249, 0.164], [0.751, 0.268, 0.644], [0.836, 0.644, 0.268]], "spacegroup": "Fddd"}


*ii*
{"formula": "NdCu2O4", "functional": "PBE", "state": "optimized geometry", "cell": [[2.699, -2.684, 0.000], [2.699, 2.684, 0.000], [-1.780, 0.000, 6.128]], "species": ["Nd", "Cu", "Cu", "O", "O", "O", "O"], "fractional_positions": [[0.000, 0.000, 0.000], [0.390, 0.390, 0.685], [0.610, 0.610, 0.315], [0.085, 0.581, 0.248], [0.419, 0.915, 0.752], [0.581, 0.085, 0.248], [0.915, 0.419, 0.752]], "spacegroup": "C2/m"}


Tell me which of them is the least stable. Sure, it is *ii*.